No. 1
Here is SrCrSb2 after structural relaxation from Alexandria via LeMat-Bulk. Energies are from PBEsol.

Results
ΔE_f (raw) (kJ/mol of atoms): -0.4
Density of states at the Fermi level (states/eV per cell): 2.98
Polymorph energy (0 for the lowest one) (eV per atom): 0.125
Space-group type: I-42d, No. 122
Calculated volume (Å³ per cell): 262.9

```
data_SrCrSb2
_cell_length_a 9.582
_cell_length_b 9.582
_cell_length_c 9.582
_cell_angle_alpha 146.78
_cell_angle_beta 146.78
_cell_angle_gamma 47.68
_symmetry_space_group_name_H-M 'P 1'
_symmetry_Int_Tables_number 1
loop_
_symmetry_equiv_pos_as_xyz
'x,y,z'
loop_
_atom_site_label
_atom_site_type_symbol
_atom_site_fract_x
_atom_site_fract_y
_atom_site_fract_z
Sr1 Sr 0.000 0.000 0.000
Sr2 Sr 0.750 0.250 0.500
Cr1 Cr 0.250 0.750 0.500
Cr2 Cr 0.500 0.500 0.000
Sb1 Sb 0.262 0.625 0.137
Sb2 Sb 0.375 0.512 0.637
Sb3 Sb 0.488 0.125 0.863
Sb4 Sb 0.875 0.738 0.363
```

***

No. 2
Here is SrCrSb2 after structural relaxation from Alexandria via LeMat-Bulk. Energies are from PBEsol.

Results
ΔE_f (raw) (kJ/mol of atoms): -12.4
Density of states at the Fermi level (states/eV per cell): 2.09
Polymorph energy (0 for the lowest one) (eV per atom): 0.000
Space-group type: Imm2, No. 44
Calculated volume (Å³ per cell): 104.8

```
data_SrCrSb2
_cell_length_a 8.096
_cell_length_b 8.096
_cell_length_c 8.096
_cell_angle_alpha 154.06
_cell_angle_beta 153.11
_cell_angle_gamma 37.71
_symmetry_space_group_name_H-M 'P 1'
_symmetry_Int_Tables_number 1
loop_
_symmetry_equiv_pos_as_xyz
'x,y,z'
loop_
_atom_site_label
_atom_site_type_symbol
_atom_site_fract_x
_atom_site_fract_y
_atom_site_fract_z
Sr1 Sr 0.000 0.000 0.000
Cr1 Cr 0.240 0.740 0.500
Sb1 Sb 0.369 0.369 0.000
Sb2 Sb 0.675 0.175 0.500
```

***

No. 3
Here is SrCr2SbW after structural relaxation from Alexandria via LeMat-Bulk. Energies are from PBEsol.

Results
ΔE_f (raw) (kJ/mol of atoms): 79.3
Density of states at the Fermi level (states/eV per cell): 2.28
Space-group type: P4/mmm, No. 123
Calculated volume (Å³ per cell): 121.3

```
data_SrCr2SbW
_cell_length_a 4.831
_cell_length_b 4.831
_cell_length_c 5.199
_cell_angle_alpha 90.00
_cell_angle_beta 90.00
_cell_angle_gamma 90.00
_symmetry_space_group_name_H-M 'P 1'
_symmetry_Int_Tables_number 1
loop_
_symmetry_equiv_pos_as_xyz
'x,y,z'
loop_
_atom_site_label
_atom_site_type_symbol
_atom_site_fract_x
_atom_site_fract_y
_atom_site_fract_z
Sr1 Sr 0.000 0.000 0.000
Cr1 Cr 0.000 0.500 0.500
Cr2 Cr 0.500 0.000 0.500
Sb1 Sb 0.500 0.500 0.000
W1 W 0.500 0.500 0.500
```

***

No. 4
Here is TaCrSb after structural relaxation from Alexandria via LeMat-Bulk. Energies are from PBEsol.

Results
ΔE_f (raw) (kJ/mol of atoms): 30.3
Density of states at the Fermi level (states/eV per cell): 2.71
Space-group type: P3m1, No. 156
Calculated volume (Å³ per cell): 49.8

```
data_TaCrSb
_cell_length_a 4.423
_cell_length_b 4.423
_cell_length_c 2.940
_cell_angle_alpha 90.00
_cell_angle_beta 90.00
_cell_angle_gamma 120.00
_symmetry_space_group_name_H-M 'P 1'
_symmetry_Int_Tables_number 1
loop_
_symmetry_equiv_pos_as_xyz
'x,y,z'
loop_
_atom_site_label
_atom_site_type_symbol
_atom_site_fract_x
_atom_site_fract_y
_atom_site_fract_z
Ta1 Ta 0.000 0.000 0.000
Cr1 Cr 0.667 0.333 0.361
Sb1 Sb 0.333 0.667 0.469
```

***

No. 5
Here is Ta2CrSb after structural relaxation from Alexandria via LeMat-Bulk. Energies are from PBEsol.

Results
ΔE_f (raw) (kJ/mol of atoms): 23.1
Density of states at the Fermi level (states/eV per cell): 4.42
Space-group type: P4/mmm, No. 123
Calculated volume (Å³ per cell): 69.4

```
data_Ta2CrSb
_cell_length_a 3.048
_cell_length_b 3.048
_cell_length_c 7.472
_cell_angle_alpha 90.00
_cell_angle_beta 90.00
_cell_angle_gamma 90.00
_symmetry_space_group_name_H-M 'P 1'
_symmetry_Int_Tables_number 1
loop_
_symmetry_equiv_pos_as_xyz
'x,y,z'
loop_
_atom_site_label
_atom_site_type_symbol
_atom_site_fract_x
_atom_site_fract_y
_atom_site_fract_z
Ta1 Ta 0.000 0.000 0.201
Ta2 Ta 0.000 0.000 0.799
Cr1 Cr 0.500 0.500 0.000
Sb1 Sb 0.500 0.500 0.500
```

***

No. 6
Here is Ta4CrSb after structural relaxation from Alexandria via LeMat-Bulk. Energies are from PBEsol.

Results
ΔE_f (raw) (kJ/mol of atoms): 56.2
Density of states at the Fermi level (states/eV per cell): 6.81
Space-group type: F-43m, No. 216
Calculated volume (Å³ per cell): 111.5

```
data_Ta4CrSb
_cell_length_a 5.402
_cell_length_b 5.402
_cell_length_c 5.402
_cell_angle_alpha 60.00
_cell_angle_beta 60.00
_cell_angle_gamma 60.00
_symmetry_space_group_name_H-M 'P 1'
_symmetry_Int_Tables_number 1
loop_
_symmetry_equiv_pos_as_xyz
'x,y,z'
loop_
_atom_site_label
_atom_site_type_symbol
_atom_site_fract_x
_atom_site_fract_y
_atom_site_fract_z
Ta1 Ta 0.125 0.125 0.125
Ta2 Ta 0.125 0.125 0.625
Ta3 Ta 0.125 0.625 0.125
Ta4 Ta 0.625 0.125 0.125
Cr1 Cr 0.750 0.750 0.750
Sb1 Sb 0.500 0.500 0.500
```

***

> Look up the density of states at the Fermi level of the second one.

2.09 states/eV per cell

***

> The highest ΔE_f (raw) belongs to which entry?

SrCr2SbW

***

> Which of these has the highest calculated volume?

number 1

***

> Which of these has the lowest density of states at the Fermi level?

number 2